{"formula": "BiSbRh", "functional": "GGA-PBE", "state": "optimized geometry", "cell": [[6.595, 0.000, 0.000], [0.000, 6.595, 0.000], [0.000, 0.000, 6.595]], "species": ["Bi", "Bi", "Bi", "Bi", "Sb", "Sb", "Sb", "Sb", "Rh", "Rh", "Rh", "Rh"], "frac_coords": [[0.134, 0.366, 0.634], [0.366, 0.634, 0.134], [0.634, 0.134, 0.366], [0.866, 0.866, 0.866], [0.128, 0.128, 0.128], [0.372, 0.872, 0.628], [0.628, 0.372, 0.872], [0.872, 0.628, 0.372], [0.014, 0.986, 0.486], [0.486, 0.014, 0.986], [0.514, 0.514, 0.514], [0.986, 0.486, 0.014]], "total_magnetization_mub_per_atom": 0.00, "energy_ev_per_atom": -5.350, "e_above_lowest_polymorph_mev_per_atom": 66, "dos_at_fermi_per_ev_cell": 9.439}